A crystal of ZnSnPb2I relaxed with PBEsol. Source: Alexandria, functional SCAN.

uncorrected formation energy: 1015 meV per atom
N(E_F): 5.0 states/eV per cell

a = 5.912 Å, b = 5.912 Å, c = 5.795 Å
α = 90.00°, β = 90.00°, γ = 90.00°
Space group P4/mmm (No. 123)
Unique sites:
1 Zn 0.000 0.000 0.000
2 Sn 0.500 0.500 0.000
3 Pb 0.000 0.500 0.500
4 I 0.500 0.500 0.500